No. 1
Crystalline MgCu2P at its relaxed geometry. Source: the Alexandria database, functional PBE.

a = 3.8874 Å, b = 2.9403 Å, c = 5.1670 Å
α = 73.12°, β = 90.00°, γ = 90.00°
Atoms (fractional coordinates):
Cu: 0.0000 0.8058 0.0124
P: 0.5000 0.9352 0.7527
Mg: 0.0000 0.5515 0.5238
Cu: 0.5000 0.2075 0.2111

## Properties
Energy relative to the elements (eV/atom): -0.08

---

No. 2
Crystalline HgH2SCl2 at its relaxed geometry. Source: the Alexandria database, functional PBE.

a = 6.3097 Å, b = 8.5108 Å, c = 6.7403 Å
α = 129.15°, β = 90.00°, γ = 90.00°
Atoms (fractional coordinates):
S: 0.7018 0.8322 0.0000
H: 0.8220 0.6694 0.8129
Cl: 0.1082 0.7686 0.3334
Cl: 0.6082 0.2314 0.6666
H: 0.8220 0.8565 0.1871
Cl: 0.1082 0.4352 0.6666
Hg: 0.4112 0.6231 0.0000
Hg: 0.9112 0.3769 0.0000
H: 0.3220 0.3306 0.1871
S: 0.2018 0.1678 0.0000
Cl: 0.6082 0.5648 0.3334
H: 0.3220 0.1435 0.8129

---

No. 3
Crystalline La2Pm4Er at its relaxed geometry. Source: the Alexandria database, functional PBE.

a = 8.6193 Å, b = 8.6193 Å, c = 8.6193 Å
α = 109.38°, β = 109.65°, γ = 109.38°
Atoms (fractional coordinates):
Pm: 0.6208 0.7467 0.0284
Pm: 0.7784 0.2467 0.8708
Pm: 0.4683 0.0924 0.2216
La: 0.2381 0.6131 0.1250
Pm: 0.2817 0.2533 0.8741
La: 0.3750 0.8869 0.7619
Er: 0.7500 0.5000 0.2500
Pm: 0.9716 0.5924 0.7183
La: 0.8750 0.1131 0.4881
La: 0.5119 0.3869 0.6250
Pm: 0.1292 0.9076 0.3759
Er: 0.0000 0.0000 0.0000
Pm: 0.6241 0.7533 0.5317
Pm: 0.1259 0.4076 0.3792

## Properties
Energy relative to the elements (eV/atom): 0.27
Distance to the lowest polymorph of the same formula (kJ per mole of atoms): 5.2

---

No. 4
Crystalline Fe2NiRu at its relaxed geometry. Source: the Alexandria database, functional PBE.

a = 4.4493 Å, b = 4.4493 Å, c = 4.4659 Å
α = 80.70°, β = 80.70°, γ = 33.68°
Site moments in Bohr magnetons follow the coordinates.
Atoms (fractional coordinates):
Ru: 0.7500 0.7500 0.7500  -0.05
Fe: 0.9972 0.9972 0.0080  2.37
Ni: 0.2500 0.2500 0.2500  0.42
Fe: 0.5028 0.5028 0.4920  2.37

## Properties
Energy relative to the elements (eV/atom): 0.11

---

No. 5
Crystalline Sr6Pt at its relaxed geometry. Source: the Alexandria database, functional PBE.

a = 7.4281 Å, b = 12.9032 Å, c = 14.0840 Å
α = 90.00°, β = 90.00°, γ = 90.00°
Atoms (fractional coordinates):
Sr: 0.9176 0.4132 0.7464
Sr: 0.2585 0.7500 0.9996
Sr: 0.4079 0.2500 0.7490
Sr: 0.2415 0.7500 0.4996
Sr: 0.7415 0.2500 0.0004
Sr: 0.2500 0.4143 0.0038
Sr: 0.7500 0.9143 0.9962
Sr: 0.9176 0.0868 0.7464
Sr: 0.2500 0.0857 0.5038
Sr: 0.7500 0.5857 0.4962
Sr: 0.4176 0.9132 0.7536
Sr: 0.0824 0.9132 0.2536
Sr: 0.7500 0.9143 0.4962
Sr: 0.5824 0.4132 0.2464
Sr: 0.5921 0.7500 0.2510
Pt: 0.0835 0.2500 0.6240
Sr: 0.7500 0.5857 0.9962
Sr: 0.5824 0.0868 0.2464
Pt: 0.4165 0.2500 0.1240
Pt: 0.5835 0.7500 0.8760
Sr: 0.0921 0.2500 0.2490
Sr: 0.2500 0.0857 0.0038
Sr: 0.7585 0.2500 0.5004
Sr: 0.0824 0.5868 0.2536
Pt: 0.9165 0.7500 0.3760
Sr: 0.9079 0.7500 0.7510
Sr: 0.2500 0.4143 0.5038
Sr: 0.4176 0.5868 0.7536

## Properties
Energy relative to the elements (eV/atom): -0.34

---

Number 1: total energy -0.14265 hartree per atom. Number 2: total energy -0.10465 hartree per atom. Number 3: total energy -0.16570 hartree per atom. Number 4: total energy -0.28965 hartree per atom. Number 5: total energy -0.09726 hartree per atom.